Here is an optimized crystal structure of Rb2Cd2I7 from the Alexandria database. Energies are from PBE.

Properties
Crystal system ... monoclinic
Raw total energy ... -23.24 eV per cell
SG ... C2/m, No. 12
N(E_F) ... 10.23 states/eV/cell
Mass density ... 3.69 g/cm3

abc: 8.950 8.950 7.273
angles: 94.92 94.92 92.95
Fractional coordinates of all 11 atoms:
Rb 0.241 0.759 0.000
Rb 0.759 0.241 0.000
Cd 0.264 0.264 0.533
Cd 0.736 0.736 0.467
I 0.053 0.416 0.730
I 0.160 0.160 0.171
I 0.416 0.053 0.730
I 0.500 0.500 0.500
I 0.584 0.947 0.270
I 0.840 0.840 0.829
I 0.947 0.584 0.270